(1)
First-principles (PBE) data for a geometry-optimized AcErThSn structure, as listed in Alexandria.

```
AcErThSn
1.0
7.922 0.000 0.000
0.000 7.922 0.000
0.000 0.000 7.922
Ac Er Th Sn
4 4 4 4
Cartesian
0.000 0.000 0.000 Ac
0.000 3.961 3.961 Ac
3.961 0.000 3.961 Ac
3.961 3.961 0.000 Ac
1.981 1.981 1.981 Er
1.981 5.942 5.942 Er
5.942 1.981 5.942 Er
5.942 5.942 1.981 Er
1.981 1.981 5.942 Th
1.981 5.942 1.981 Th
5.942 1.981 1.981 Th
5.942 5.942 5.942 Th
0.000 0.000 3.961 Sn
0.000 3.961 0.000 Sn
3.961 0.000 0.000 Sn
3.961 3.961 3.961 Sn
```


(2)
First-principles (PBE) data for a geometry-optimized AcErTlSn structure, as listed in Alexandria.

```
AcErTlSn
1.0
7.897 0.000 0.000
0.000 7.897 0.000
0.000 0.000 7.897
Ac Er Tl Sn
4 4 4 4
Cartesian
0.000 0.000 0.000 Ac
0.000 3.949 3.949 Ac
3.949 0.000 3.949 Ac
3.949 3.949 0.000 Ac
0.000 0.000 3.949 Er
0.000 3.949 0.000 Er
3.949 0.000 0.000 Er
3.949 3.949 3.949 Er
1.974 1.974 5.923 Tl
1.974 5.923 1.974 Tl
5.923 1.974 1.974 Tl
5.923 5.923 5.923 Tl
1.974 1.974 1.974 Sn
1.974 5.923 5.923 Sn
5.923 1.974 5.923 Sn
5.923 5.923 1.974 Sn
```


The calculation returns the following energy of formation from the pure elements values, one per record and in order: -0.073; -0.419 eV per atom.